First-principles (PBE) data for crystalline K2Fe2P2N at its relaxed geometry, as listed in Alexandria.

Output
For the formation energy from raw total energies, the calculation gives -270.3 kJ/mol of formula units. As for the symmetry: C2/m.

```
K2Fe2P2N
1.0
5.353 -1.871 0.000
5.353 1.871 0.000
-3.917 0.000 6.600
K Fe P N
2 2 2 1
Direct
0.066 0.066 0.340
0.934 0.934 0.660
0.325 0.325 0.950
0.675 0.675 0.050
0.289 0.289 0.208
0.711 0.711 0.792
0.500 0.500 0.000
```